A plane-wave DFT calculation with PBE was carried out for an optimized crystal structure of Ir2AuBr.

Cell lengths 4.2885, 4.2885, 3.6860 Å; angles 90.00, 90.00, 90.00 degrees
With the nearest neighbours (Å) after each atom.
Element x y z (fractional)
Ir: 0.0000 0.5000 0.0000  4 Br 2.83, 4 Au 2.83, 4 Ir 3.03
Ir: 0.5000 0.0000 0.0000  4 Br 2.83, 4 Au 2.83, 4 Ir 3.03
Au: 0.0000 0.0000 0.5000  8 Ir 2.83, 4 Br 3.03
Br: 0.5000 0.5000 0.5000  8 Ir 2.83, 4 Au 3.03

Summary:
Mass density ... 16.20 g/cm3
E above lowest polymorph ... 0.7330 eV/atom
Formation energy (no corrections) ... 1.187 eV/atom

***

A plane-wave DFT calculation with PBE was carried out for an optimized crystal structure of KBI3.

Cell lengths 6.5515, 6.5515, 6.5515 Å; angles 90.00, 90.00, 90.00 degrees
With the nearest neighbours (Å) after each atom.
Element x y z (fractional)
K: 0.0000 0.0000 0.0000  6 I 3.28
B: 0.5000 0.5000 0.5000  12 I 4.63
I: 0.0000 0.0000 0.5000  2 K 3.28
I: 0.0000 0.5000 0.0000  2 K 3.28
I: 0.5000 0.0000 0.0000  2 K 3.28

Summary:
Mass density ... 2.54 g/cm3
E above lowest polymorph ... 1.4887 eV/atom
Formation energy (no corrections) ... 0.881 eV/atom

***

A plane-wave DFT calculation with PBE was carried out for an optimized crystal structure of KLa2Re.

Cell lengths 5.2086, 5.2086, 4.1105 Å; angles 90.00, 90.00, 90.00 degrees
With the nearest neighbours (Å) after each atom.
Element x y z (fractional)
K: 0.0000 0.0000 0.0000  8 La 3.32, 4 Re 3.68
La: 0.0000 0.5000 0.5000  4 K 3.32, 4 Re 3.32, 4 La 3.68
La: 0.5000 0.0000 0.5000  4 K 3.32, 4 Re 3.32, 4 La 3.68
Re: 0.5000 0.5000 0.0000  8 La 3.32, 4 K 3.68

Summary:
Mass density ... 7.49 g/cm3
E above lowest polymorph ... 0.6425 eV/atom
Energy of formation ... 892 meV/atom